Model 1:
{
  "formula": "Dy2Y2Tm3Ni2Te2",
  "functional": "PBE",
  "state": "relaxed",
  "density_g_cm3": 8.05,
  "volume_a3_per_cell": 285.1,
  "cell": [[-1.919, 7.772, 4.779], [1.919, -7.772, 4.779], [1.919, 7.772, -4.779]],
  "species": ["Dy", "Dy", "Y", "Y", "Tm", "Tm", "Tm", "Ni", "Ni", "Te", "Te"],
  "frac_coords": [[0.147, 0.000, 0.147], [0.853, 0.000, 0.853], [0.167, 0.351, 0.816], [0.535, 0.351, 0.184], [0.229, 0.729, 0.500], [0.514, 0.148, 0.367], [0.781, 0.148, 0.633], [0.396, 0.656, 0.740], [0.916, 0.656, 0.260], [0.496, 0.496, 0.000], [0.892, 0.392, 0.500]]
}


Model 2:
{
  "formula": "Dy2Y2Tm3Ni2Te2",
  "functional": "PBE",
  "state": "relaxed",
  "density_g_cm3": 8.05,
  "volume_a3_per_cell": 285.2,
  "cell": [[-1.920, 7.788, 4.767], [1.920, -7.788, 4.767], [1.920, 7.788, -4.767]],
  "species": ["Dy", "Dy", "Y", "Y", "Tm", "Tm", "Tm", "Ni", "Ni", "Te", "Te"],
  "frac_coords": [[0.147, 0.000, 0.147], [0.853, 0.000, 0.853], [0.515, 0.147, 0.368], [0.779, 0.147, 0.632], [0.164, 0.348, 0.815], [0.230, 0.730, 0.500], [0.533, 0.348, 0.185], [0.395, 0.658, 0.737], [0.921, 0.658, 0.263], [0.492, 0.492, 0.000], [0.894, 0.394, 0.500]]
}


Which one sits at the top of the stability order? model 2 does.